--- i ---
Below is a relaxed structure of Cu2TcOs, with properties calculated at the GGA-PBE level.

Properties
The symmetry is Cm (8). As for the crystal system: monoclinic. The total magnetic moment comes out at 0.000 μB per atom.

Unit cell a=8.8005 b=2.6526 c=4.6501 alpha=90.00 beta=98.61 gamma=90.00
Positions (direct):
Cu: 0.0000 0.0000 0.0000
Cu: 0.2486 0.5000 0.2037
Cu: 0.5000 0.5000 0.0000
Cu: 0.7486 0.0000 0.2037
Tc: 0.0018 0.5000 0.4992
Tc: 0.5018 0.0000 0.4992
Os: 0.2515 0.0000 0.7066
Os: 0.7515 0.5000 0.7066

***

--- ii ---
Below is a relaxed structure of Cu2TcOs, with properties calculated at the GGA-PBE level.

Properties
The symmetry is Immm (71). As for the crystal system: orthorhombic. The total magnetic moment comes out at 0.000 μB per atom.

Unit cell a=3.0065 b=4.1512 c=8.7272 alpha=90.00 beta=90.00 gamma=90.00
Positions (direct):
Cu: 0.0000 0.0000 0.2488
Cu: 0.0000 0.0000 0.7512
Cu: 0.5000 0.5000 0.2512
Cu: 0.5000 0.5000 0.7488
Tc: 0.0000 0.5000 0.0000
Tc: 0.5000 0.0000 0.5000
Os: 0.0000 0.5000 0.5000
Os: 0.5000 0.0000 0.0000

***

--- iii ---
Below is a relaxed structure of Cu2TcOs, with properties calculated at the GGA-PBE level.

Properties
The symmetry is P4/mmm (123). As for the crystal system: tetragonal. The total magnetic moment comes out at 0.000 μB per atom.

Unit cell a=3.6480 b=3.6480 c=4.0281 alpha=90.00 beta=90.00 gamma=90.00
Positions (direct):
Cu: 0.0000 0.5000 0.0000
Cu: 0.5000 0.0000 0.0000
Tc: 0.0000 0.0000 0.5000
Os: 0.5000 0.5000 0.5000

***

--- iv ---
Below is a relaxed structure of Cu2TcOs, with properties calculated at the GGA-PBE level.

Properties
The symmetry is P4mm (99). As for the crystal system: tetragonal. The total magnetic moment comes out at 0.000 μB per atom.

Unit cell a=2.7801 b=2.7801 c=6.9705 alpha=90.00 beta=90.00 gamma=90.00
Positions (direct):
Cu: 0.0000 0.0000 0.0000
Cu: 0.5000 0.5000 0.2233
Tc: 0.5000 0.5000 0.7309
Os: 0.0000 0.0000 0.4879

***

According to the calculations, the structures order from most to least stable as iv, i, iii, ii.

***

--- i ---
Below is a relaxed structure of Cu2TcOs, with properties calculated at the GGA-PBE level.

Properties
The symmetry is C2/m (12). As for the crystal system: monoclinic. The total magnetic moment comes out at 0.000 μB per atom.

Unit cell a=8.9205 b=2.7006 c=4.5514 alpha=90.00 beta=100.51 gamma=90.00
Positions (direct):
Cu: 0.2488 0.0000 0.2488
Cu: 0.2512 0.5000 0.7512
Cu: 0.7488 0.5000 0.2488
Cu: 0.7512 0.0000 0.7512
Tc: 0.0000 0.0000 0.5000
Tc: 0.5000 0.5000 0.5000
Os: 0.0000 0.5000 0.0000
Os: 0.5000 0.0000 0.0000

***

--- ii ---
Below is a relaxed structure of Cu2TcOs, with properties calculated at the GGA-PBE level.

Properties
The symmetry is I4/mmm (139). As for the crystal system: tetragonal. The total magnetic moment comes out at 0.000 μB per atom.

Unit cell a=3.6439 b=3.6439 c=8.0841 alpha=90.00 beta=90.00 gamma=90.00
Positions (direct):
Cu: 0.0000 0.5000 0.2500
Cu: 0.0000 0.5000 0.7500
Cu: 0.5000 0.0000 0.2500
Cu: 0.5000 0.0000 0.7500
Tc: 0.0000 0.0000 0.0000
Tc: 0.5000 0.5000 0.5000
Os: 0.0000 0.0000 0.5000
Os: 0.5000 0.5000 0.0000

***

According to the calculations, the structures order from most to least stable as i, ii.